# 1
Density functional theory data (SCAN) for a PBEsol-optimized structure of Y3MgS.

Computed properties:
The calculated volume is 158.6 Å³/cell. The energy is -19.147 eV per atom. The magnetization is 0.00 μB/f.u. For the formation energy without anion corrections, the calculation gives 46.2 kJ/mol of atoms.

```
data_Y3MgS
_cell_length_a 5.413
_cell_length_b 5.413
_cell_length_c 5.413
_cell_angle_alpha 90.00
_cell_angle_beta 90.00
_cell_angle_gamma 90.00
_space_group_name_H-M_alt 'P m -3 m'
_space_group_IT_number 221
_space_group_name_Hall '-P 4 2 3'
loop_
_atom_site_label
_atom_site_type_symbol
_atom_site_fract_x
_atom_site_fract_y
_atom_site_fract_z
Y1 Y 0.000 0.000 0.500
Mg1 Mg 0.000 0.000 0.000
S1 S 0.500 0.500 0.500
```

---

# 2
Density functional theory data (SCAN) for a PBEsol-optimized structure of NiPd3F.

Computed properties:
The calculated volume is 73.5 Å³/cell. The energy is -23.080 eV per atom. The magnetization is 1.62 μB/f.u. For the formation energy without anion corrections, the calculation gives 50.9 kJ/mol of atoms.

```
data_NiPd3F
_cell_length_a 4.189
_cell_length_b 4.189
_cell_length_c 4.189
_cell_angle_alpha 90.00
_cell_angle_beta 90.00
_cell_angle_gamma 90.00
_space_group_name_H-M_alt 'P m -3 m'
_space_group_IT_number 221
_space_group_name_Hall '-P 4 2 3'
loop_
_atom_site_label
_atom_site_type_symbol
_atom_site_fract_x
_atom_site_fract_y
_atom_site_fract_z
Ni1 Ni 0.000 0.000 0.000
Pd1 Pd 0.000 0.500 0.500
F1 F 0.500 0.500 0.500
```